A plane-wave DFT calculation with GGA-PBE was carried out for crystalline LiTaCuSeS2 at its relaxed geometry.

a b c (Å): 6.5618 6.5618 9.5855
angles (deg): 90.00 90.00 149.44
Element x y z (fractional)
Se 0.8963 0.1037 0.2500
Ta 0.0000 0.0000 0.5000
S 0.3650 0.6350 0.9392
Li 0.7851 0.2149 0.7500
Cu 0.5318 0.4682 0.2500
Cu 0.4682 0.5318 0.7500
Ta 0.0000 0.0000 0.0000
Se 0.1037 0.8963 0.7500
S 0.6350 0.3650 0.0608
Li 0.2149 0.7851 0.2500
S 0.6350 0.3650 0.4392
S 0.3650 0.6350 0.5608

Results
Crystal system   orthorhombic
Symmetry   Cmcm, No. 63
E   -5.629 eV per atom

A plane-wave DFT calculation with GGA-PBE was carried out for crystalline Nb4GeSbN2 at its relaxed geometry.

a b c (Å): 3.3062 3.3062 12.7330
angles (deg): 90.00 90.00 120.00
Element x y z (fractional)
N 0.3333 0.6667 0.7585
N 0.3333 0.6667 0.2415
Nb 0.6667 0.3333 0.3253
Nb 0.0000 0.0000 0.1511
Sb 0.0000 0.0000 0.5000
Ge 0.6667 0.3333 0.0000
Nb 0.6667 0.3333 0.6747
Nb 0.0000 0.0000 0.8489

Results
Crystal system   hexagonal
Symmetry   P-6m2, No. 187
E   -8.798 eV per atom

In the order shown, the computed magnetization values come out to 0.05, 0.01 μB per cell.
In the order shown, the computed density values come out to 6.24, 8.18 g/cm³.